# 1
A plane-wave DFT calculation with GGA-PBE was carried out for a relaxed structure of Y4Te3P. Values from VASP.

As for the space group: Cmmm. Its total magnetization is 0.00 Bohr magnetons per cell. Its energy is -52.30 eV per cell. The uncorrected formation energy comes out at -140 kJ per mole of atoms.

Geometry as Quantum ESPRESSO input:
```
&SYSTEM
  ibrav = 0, nat = 8, ntyp = 3
/
ATOMIC_SPECIES
Y 88.91 Y.upf
Te 127.60 Te.upf
P 30.97 P.upf
ATOMIC_POSITIONS crystal
Y 0.215 0.215 0.500
Y 0.227 0.773 0.000
Y 0.773 0.227 0.000
Y 0.785 0.785 0.500
Te 0.000 0.500 0.500
Te 0.500 0.000 0.500
Te 0.500 0.500 0.000
P 0.000 0.000 0.000
CELL_PARAMETERS angstrom
4.357 -6.079 0.000
4.357 6.079 0.000
0.000 0.000 4.216
```

# 2
A plane-wave DFT calculation with GGA-PBE was carried out for a relaxed structure of RbSnPb4. Values from VASP.

As for the space group: Cmcm. Its total magnetization is 0.00 Bohr magnetons per cell. The energy relative to the elements is -0.020 eV per atom. Its energy is -39.85 eV per cell. The energy above the most stable polymorph in this dataset comes out at 0 meV/atom.

Geometry as Quantum ESPRESSO input:
```
&SYSTEM
  ibrav = 0, nat = 12, ntyp = 3
/
ATOMIC_SPECIES
Rb 85.47 Rb.upf
Sn 118.71 Sn.upf
Pb 207.20 Pb.upf
ATOMIC_POSITIONS crystal
Rb 0.000 0.000 0.000
Rb 0.000 0.000 0.500
Sn 0.131 0.869 0.750
Sn 0.869 0.131 0.250
Pb 0.208 0.792 0.250
Pb 0.292 0.708 0.571
Pb 0.292 0.708 0.929
Pb 0.481 0.519 0.750
Pb 0.519 0.481 0.250
Pb 0.708 0.292 0.071
Pb 0.708 0.292 0.429
Pb 0.792 0.208 0.750
CELL_PARAMETERS angstrom
2.577 -6.399 0.000
2.577 6.399 0.000
0.000 0.000 13.038
```

# 3
A plane-wave DFT calculation with GGA-PBE was carried out for a relaxed structure of Tb12Ho2Zr. Values from VASP.

As for the space group: C2/m. Its total magnetization is 0.00 Bohr magnetons per cell. The energy relative to the elements is 0.117 eV per atom. Its energy is -143.01 eV per cell.

Geometry as Quantum ESPRESSO input:
```
&SYSTEM
  ibrav = 0, nat = 30, ntyp = 3
/
ATOMIC_SPECIES
Tb 158.93 Tb.upf
Ho 164.93 Ho.upf
Zr 91.22 Zr.upf
ATOMIC_POSITIONS crystal
Tb 0.035 0.035 0.138
Tb 0.049 0.549 0.191
Tb 0.105 0.105 0.424
Tb 0.110 0.610 0.442
Tb 0.169 0.669 0.680
Tb 0.233 0.733 0.937
Tb 0.267 0.767 0.063
Tb 0.331 0.831 0.320
Tb 0.390 0.890 0.558
Tb 0.395 0.395 0.576
Tb 0.451 0.951 0.809
Tb 0.465 0.465 0.862
Tb 0.535 0.535 0.138
Tb 0.549 0.049 0.191
Tb 0.605 0.605 0.424
Tb 0.610 0.110 0.442
Tb 0.669 0.169 0.680
Tb 0.733 0.233 0.937
Tb 0.767 0.267 0.063
Tb 0.831 0.331 0.320
Tb 0.890 0.390 0.558
Tb 0.895 0.895 0.576
Tb 0.951 0.451 0.809
Tb 0.965 0.965 0.862
Ho 0.179 0.179 0.719
Ho 0.320 0.320 0.281
Ho 0.680 0.680 0.719
Ho 0.821 0.821 0.281
Zr 0.281 0.281 0.000
Zr 0.719 0.719 0.000
CELL_PARAMETERS angstrom
3.581 -5.660 0.000
3.581 5.660 0.000
-1.772 0.000 23.258
```

# 4
A plane-wave DFT calculation with GGA-PBE was carried out for a relaxed structure of Li3LaIn. Values from VASP.

As for the space group: Pm-3m. Its total magnetization is 0.89 Bohr magnetons per cell. The energy relative to the elements is 0.038 eV per atom. Its energy is -13.22 eV per cell. The energy above the most stable polymorph in this dataset comes out at 0 meV/atom.

Geometry as Quantum ESPRESSO input:
```
&SYSTEM
  ibrav = 0, nat = 5, ntyp = 3
/
ATOMIC_SPECIES
Li 6.94 Li.upf
La 138.91 La.upf
In 114.82 In.upf
ATOMIC_POSITIONS crystal
Li 0.000 0.000 0.500
Li 0.000 0.500 0.000
Li 0.500 0.000 0.000
La 0.500 0.500 0.500
In 0.000 0.000 0.000
CELL_PARAMETERS angstrom
5.025 0.000 0.000
0.000 5.025 0.000
0.000 0.000 5.025
```

# 5
A plane-wave DFT calculation with GGA-PBE was carried out for a relaxed structure of Rb3SbSe3. Values from VASP.

As for the space group: Pnma. Its total magnetization is 0.00 Bohr magnetons per cell. Its energy is -95.42 eV per cell. The uncorrected formation energy comes out at -88 kJ per mole of atoms.

Geometry as Quantum ESPRESSO input:
```
&SYSTEM
  ibrav = 0, nat = 28, ntyp = 3
/
ATOMIC_SPECIES
Rb 85.47 Rb.upf
Sb 121.76 Sb.upf
Se 78.96 Se.upf
ATOMIC_POSITIONS crystal
Rb 0.060 0.250 0.103
Rb 0.147 0.750 0.487
Rb 0.235 0.750 0.787
Rb 0.265 0.250 0.287
Rb 0.353 0.250 0.987
Rb 0.440 0.750 0.603
Rb 0.560 0.250 0.397
Rb 0.647 0.750 0.013
Rb 0.735 0.750 0.713
Rb 0.765 0.250 0.213
Rb 0.853 0.250 0.513
Rb 0.940 0.750 0.897
Sb 0.056 0.250 0.699
Sb 0.444 0.750 0.199
Sb 0.556 0.250 0.801
Sb 0.944 0.750 0.301
Se 0.007 0.250 0.331
Se 0.105 0.250 0.872
Se 0.232 0.250 0.623
Se 0.268 0.750 0.123
Se 0.395 0.750 0.372
Se 0.493 0.750 0.831
Se 0.507 0.250 0.169
Se 0.605 0.250 0.628
Se 0.732 0.250 0.877
Se 0.768 0.750 0.377
Se 0.895 0.750 0.128
Se 0.993 0.750 0.669
CELL_PARAMETERS angstrom
13.428 0.000 0.000
0.000 5.490 0.000
0.000 0.000 14.857
```

# 6
A plane-wave DFT calculation with GGA-PBE was carried out for a relaxed structure of RuPt2Rh. Values from VASP.

As for the space group: R3m. Its total magnetization is 0.00 Bohr magnetons per cell. The energy relative to the elements is -0.037 eV per atom. Its energy is -28.86 eV per cell. The energy above the most stable polymorph in this dataset comes out at 1 meV/atom.

Geometry as Quantum ESPRESSO input:
```
&SYSTEM
  ibrav = 0, nat = 4, ntyp = 3
/
ATOMIC_SPECIES
Ru 101.07 Ru.upf
Pt 195.08 Pt.upf
Rh 102.91 Rh.upf
ATOMIC_POSITIONS crystal
Ru 0.000 0.000 0.000
Pt 0.505 0.505 0.505
Pt 0.750 0.750 0.750
Rh 0.257 0.257 0.257
CELL_PARAMETERS angstrom
1.373 0.793 9.089
-1.373 0.793 9.089
0.000 -1.586 9.089
```

# 7
A plane-wave DFT calculation with GGA-PBE was carried out for a relaxed structure of ZnGaNiOs. Values from VASP.

As for the space group: F-43m. Its total magnetization is 0.00 Bohr magnetons per cell. The energy relative to the elements is -0.037 eV per atom. Its energy is -21.46 eV per cell.

Geometry as Quantum ESPRESSO input:
```
&SYSTEM
  ibrav = 0, nat = 4, ntyp = 4
/
ATOMIC_SPECIES
Zn 65.41 Zn.upf
Ga 69.72 Ga.upf
Ni 58.69 Ni.upf
Os 190.23 Os.upf
ATOMIC_POSITIONS crystal
Zn 0.000 0.000 0.000
Ga 0.500 0.500 0.500
Ni 0.250 0.250 0.250
Os 0.750 0.750 0.750
CELL_PARAMETERS angstrom
0.000 2.984 2.984
2.984 0.000 2.984
2.984 2.984 0.000
```

Q: The lowest energy belongs to which entry?
A: Tb12Ho2Zr

Please write out number 2 again, unchanged.
A plane-wave DFT calculation with GGA-PBE was carried out for a relaxed structure of RbSnPb4. Values from VASP.

As for the space group: Cmcm. Its total magnetization is 0.00 Bohr magnetons per cell. The energy relative to the elements is -0.020 eV per atom. Its energy is -39.85 eV per cell. The energy above the most stable polymorph in this dataset comes out at 0 meV/atom.

Geometry as Quantum ESPRESSO input:
```
&SYSTEM
  ibrav = 0, nat = 12, ntyp = 3
/
ATOMIC_SPECIES
Rb 85.47 Rb.upf
Sn 118.71 Sn.upf
Pb 207.20 Pb.upf
ATOMIC_POSITIONS crystal
Rb 0.000 0.000 0.000
Rb 0.000 0.000 0.500
Sn 0.131 0.869 0.750
Sn 0.869 0.131 0.250
Pb 0.208 0.792 0.250
Pb 0.292 0.708 0.571
Pb 0.292 0.708 0.929
Pb 0.481 0.519 0.750
Pb 0.519 0.481 0.250
Pb 0.708 0.292 0.071
Pb 0.708 0.292 0.429
Pb 0.792 0.208 0.750
CELL_PARAMETERS angstrom
2.577 -6.399 0.000
2.577 6.399 0.000
0.000 0.000 13.038
```

Q: The highest energy belongs to which entry?
A: Li3LaIn

Q: Which of these has the highest energy?
A: Li3LaIn